# 1
Compound: CdIrBr2
Source: Alexandria via LeMat-Bulk
Functional: PBE-GGA
Structure: relaxed

```
16
Lattice="7.019 0.000 0.000 0.000 7.019 0.000 0.000 0.000 7.019" Properties=species:S:1:pos:R:3 pbc="T T T"
Cd 0.000 0.000 0.000
Cd 0.000 3.509 3.509
Cd 3.509 0.000 3.509
Cd 3.509 3.509 0.000
Ir 1.755 1.755 5.264
Ir 1.755 5.264 1.755
Ir 5.264 1.755 1.755
Ir 5.264 5.264 5.264
Br 0.000 0.000 3.509
Br 0.000 3.509 0.000
Br 1.755 1.755 1.755
Br 1.755 5.264 5.264
Br 3.509 0.000 0.000
Br 3.509 3.509 3.509
Br 5.264 1.755 5.264
Br 5.264 5.264 1.755
```

Computed properties:
VASP energy = -2.3619 eV/atom
total moment = 5.4 μB per cell
energy relative to the elements, uncorrected = 0.919 eV/atom
offset from the most stable computed form = 960 meV/atom
symmetry = No. 216

***

# 2
Compound: HgBiPb2
Source: Alexandria via LeMat-Bulk
Functional: PBE-GGA
Structure: relaxed

```
16
Lattice="7.911 0.000 0.000 0.000 7.911 0.000 0.000 0.000 7.911" Properties=species:S:1:pos:R:3 pbc="T T T"
Hg 0.000 0.000 0.000
Hg 0.000 3.955 3.955
Hg 3.955 0.000 3.955
Hg 3.955 3.955 0.000
Bi 0.000 0.000 3.955
Bi 0.000 3.955 0.000
Bi 3.955 0.000 0.000
Bi 3.955 3.955 3.955
Pb 1.978 1.978 1.978
Pb 1.978 1.978 5.933
Pb 1.978 5.933 1.978
Pb 1.978 5.933 5.933
Pb 5.933 1.978 1.978
Pb 5.933 1.978 5.933
Pb 5.933 5.933 1.978
Pb 5.933 5.933 5.933
```

Computed properties:
VASP energy = -2.8873 eV/atom
total moment = 0.0 μB per cell
offset from the most stable computed form = 0 meV/atom
symmetry = No. 225
energy relative to the elements = 13 meV per atom

***

# 3
Compound: SnCCl2
Source: Alexandria via LeMat-Bulk
Functional: PBE-GGA
Structure: relaxed

```
16
Lattice="7.000 0.000 0.000 0.000 7.000 0.000 0.000 0.000 7.000" Properties=species:S:1:pos:R:3 pbc="T T T"
Sn 0.000 0.000 0.000
Sn 0.000 3.500 3.500
Sn 3.500 0.000 3.500
Sn 3.500 3.500 0.000
C 0.000 0.000 3.500
C 0.000 3.500 0.000
C 3.500 0.000 0.000
C 3.500 3.500 3.500
Cl 1.750 1.750 1.750
Cl 1.750 1.750 5.250
Cl 1.750 5.250 1.750
Cl 1.750 5.250 5.250
Cl 5.250 1.750 1.750
Cl 5.250 1.750 5.250
Cl 5.250 5.250 1.750
Cl 5.250 5.250 5.250
```

Computed properties:
VASP energy = -3.0498 eV/atom
total moment = 8.0 μB per cell
energy relative to the elements, uncorrected = 1.180 eV/atom
offset from the most stable computed form = 24 meV/atom
symmetry = No. 225

***

# 4
Compound: Ba2ThZnS5
Source: Alexandria via LeMat-Bulk
Functional: PBE-GGA
Structure: relaxed

```
18
Lattice="2.102 -9.082 0.000 2.102 9.082 0.000 0.000 0.000 13.058" Properties=species:S:1:pos:R:3 pbc="T T T"
Ba 2.102 7.077 6.529
Ba 2.102 6.881 1.882
Ba 2.102 -6.881 8.411
Ba 2.102 -7.077 0.000
Th 2.102 5.458 10.919
Th 2.102 -5.458 4.390
Zn 2.102 0.975 3.205
Zn 2.102 -0.975 9.734
S 2.102 8.272 10.946
S 2.102 3.710 6.234
S 2.102 3.418 2.500
S 2.102 2.749 10.764
S 2.102 0.028 7.688
S 2.102 -0.028 1.159
S 2.102 -2.749 4.235
S 2.102 -3.418 9.029
S 2.102 -3.710 12.763
S 2.102 -8.272 4.417
```

Computed properties:
VASP energy = -5.4667 eV/atom
total moment = 0.0 μB per cell
energy relative to the elements, uncorrected = -1.780 eV/atom
symmetry = No. 36

***

# 5
Compound: Ti3NbPd2
Source: Alexandria via LeMat-Bulk
Functional: PBE-GGA
Structure: relaxed

```
6
Lattice="3.240 0.000 0.000 0.000 3.240 0.000 0.000 0.000 9.363" Properties=species:S:1:pos:R:3 pbc="T T T"
Ti 0.000 0.000 0.000
Ti 0.000 0.000 3.121
Ti 0.000 0.000 6.242
Nb 1.620 1.620 4.682
Pd 1.620 1.620 1.478
Pd 1.620 1.620 7.885
```

Computed properties:
VASP energy = -7.7238 eV/atom
total moment = 0.0 μB per cell
symmetry = No. 123
energy relative to the elements = -367 meV per atom

***

# 6
Compound: Pm4TcGe3
Source: Alexandria via LeMat-Bulk
Functional: PBE-GGA
Structure: relaxed

```
8
Lattice="4.028 0.000 0.000 0.000 4.399 0.000 0.000 0.000 11.058" Properties=species:S:1:pos:R:3 pbc="T T T"
Pm 0.000 0.000 0.000
Pm 0.000 2.200 5.434
Pm 2.014 0.000 7.919
Pm 2.014 2.200 2.447
Tc 0.000 0.000 3.103
Ge 0.000 2.200 8.554
Ge 2.014 0.000 4.745
Ge 2.014 2.200 10.285
```

Computed properties:
VASP energy = -6.0024 eV/atom
total moment = 0.0 μB per cell
symmetry = No. 25
energy relative to the elements = -600 meV per atom

***

# 7
Compound: TiFeCoNi
Source: Alexandria via LeMat-Bulk
Functional: PBE-GGA
Structure: relaxed

```
4
Lattice="3.556 0.000 0.000 0.000 3.656 0.000 0.000 0.000 3.676" Properties=species:S:1:pos:R:3 pbc="T T T"
Ti 0.000 0.000 0.000
Fe 0.000 1.828 1.838
Co 1.778 1.828 0.000
Ni 1.778 0.000 1.838
```

Computed properties:
VASP energy = -7.6003 eV/atom
total moment = 2.7 μB per cell
offset from the most stable computed form = 0 meV/atom
symmetry = No. 47
energy relative to the elements = -289 meV per atom

***

# 8
Compound: YP2H
Source: Alexandria via LeMat-Bulk
Functional: PBE-GGA
Structure: relaxed

```
16
Lattice="6.540 0.000 0.000 0.000 6.540 0.000 0.000 0.000 6.540" Properties=species:S:1:pos:R:3 pbc="T T T"
Y 0.000 0.000 0.000
Y 0.000 3.270 3.270
Y 3.270 0.000 3.270
Y 3.270 3.270 0.000
P 1.635 1.635 1.635
P 1.635 1.635 4.905
P 1.635 4.905 1.635
P 1.635 4.905 4.905
P 4.905 1.635 1.635
P 4.905 1.635 4.905
P 4.905 4.905 1.635
P 4.905 4.905 4.905
H 0.000 0.000 3.270
H 0.000 3.270 0.000
H 3.270 0.000 0.000
H 3.270 3.270 3.270
```

Computed properties:
VASP energy = -4.8871 eV/atom
total moment = 2.8 μB per cell
offset from the most stable computed form = 483 meV/atom
symmetry = No. 225

***

# 9
Compound: Zr4Sb3
Source: Alexandria via LeMat-Bulk
Functional: PBE-GGA
Structure: relaxed

```
7
Lattice="6.009 0.000 0.000 -3.005 5.204 0.000 0.000 0.000 5.226" Properties=species:S:1:pos:R:3 pbc="T T T"
Zr 0.000 0.000 1.255
Zr 0.000 0.000 3.971
Zr 0.000 3.469 0.000
Zr 3.005 1.735 0.000
Sb -1.502 2.602 2.613
Sb 3.005 0.000 2.613
Sb 1.502 2.602 2.613
```

Computed properties:
VASP energy = -6.7515 eV/atom
total moment = 0.0 μB per cell
energy relative to the elements, uncorrected = -0.100 eV/atom
offset from the most stable computed form = 581 meV/atom
symmetry = No. 191

***

# 10
Compound: CeDy4Ru2
Source: Alexandria via LeMat-Bulk
Functional: PBE-GGA
Structure: relaxed

```
14
Lattice="7.685 0.000 0.000 0.000 6.446 0.000 -3.413 0.000 7.458" Properties=species:S:1:pos:R:3 pbc="T T T"
Ce -0.327 1.611 1.363
Ce 4.599 4.834 6.095
Dy -0.124 3.250 4.414
Dy -0.124 6.418 4.414
Dy 1.604 4.834 1.877
Dy 2.861 1.611 0.059
Dy 1.411 4.834 7.399
Dy 2.668 1.611 5.581
Dy 4.396 0.028 3.045
Dy 4.396 3.195 3.045
Ru -2.345 1.611 5.368
Ru 1.714 1.611 2.615
Ru 2.558 4.834 4.843
Ru 6.617 4.834 2.090
```

Computed properties:
VASP energy = -6.3528 eV/atom
total moment = 1.0 μB per cell
symmetry = No. 11
energy relative to the elements = -225 meV per atom

***

# 11
Compound: Sm3Tl3Ag
Source: Alexandria via LeMat-Bulk
Functional: PBE-GGA
Structure: relaxed

```
14
Lattice="5.788 -2.348 0.000 5.788 2.348 0.000 -5.050 0.000 14.641" Properties=species:S:1:pos:R:3 pbc="T T T"
Sm -1.507 0.000 5.627
Sm -3.495 0.000 13.514
Sm 1.524 0.000 3.329
Sm 5.003 0.000 11.312
Sm 10.022 0.000 1.127
Sm 8.033 0.000 9.014
Tl 1.914 0.000 6.654
Tl -0.314 0.000 13.539
Tl 1.794 0.000 11.264
Tl 4.733 0.000 3.376
Tl 6.841 0.000 1.102
Tl 4.612 0.000 7.987
Ag -0.078 0.000 9.046
Ag 6.605 0.000 5.595
```

Computed properties:
VASP energy = -3.7456 eV/atom
total moment = 0.0 μB per cell
symmetry = No. 12
energy relative to the elements = -302 meV per atom

***

# 12
Compound: BeZnAu3
Source: Alexandria via LeMat-Bulk
Functional: PBE-GGA
Structure: relaxed

```
20
Lattice="6.039 -6.576 0.000 6.039 6.576 0.000 -1.398 0.000 4.231" Properties=species:S:1:pos:R:3 pbc="T T T"
Be 4.990 5.608 3.174
Be 5.689 3.669 1.058
Be 4.990 -3.669 3.174
Be 5.689 -5.608 1.058
Zn 2.821 0.881 2.331
Zn 3.520 -0.881 0.215
Zn 7.159 0.881 4.016
Zn 7.858 -0.881 1.900
Au 0.308 1.017 3.759
Au 3.649 3.620 2.613
Au 1.007 -1.017 1.643
Au 4.378 1.777 0.505
Au 6.332 3.620 3.734
Au 7.001 1.777 1.611
Au 3.678 -1.777 2.621
Au 4.348 -3.620 0.497
Au 6.302 -1.777 3.726
Au 9.672 1.017 2.588
Au 7.031 -3.620 1.619
Au 10.372 -1.017 0.472
```

Computed properties:
VASP energy = -3.0573 eV/atom
total moment = 0.0 μB per cell
offset from the most stable computed form = 50 meV/atom
symmetry = No. 15
energy relative to the elements = -91 meV per atom

***

no.,volume (Å³ per cell)
1,346
2,495
3,343
4,499
5,98
6,196
7,48
8,280
9,163
10,369
11,398
12,336